Density functional theory data (PBE) for a relaxed GeRh2SeN crystal.

a b c (Å): 4.6682 4.9038 4.6682
angles (deg): 90.00 90.00 90.00
Site moments in Bohr magnetons follow the coordinates.
Fractional positions:
Se1 0.0000 0.5000 0.0000  0.13
N1 0.5000 0.5000 0.5000  1.60
Rh1 0.0000 0.0000 0.5000  0.55
Rh2 0.5000 0.0000 0.0000  0.42
Ge1 0.0000 0.0000 0.0000  -0.04

## Properties
As for the density of states at the Fermi level: 5.69 states/eV/f.u. As for the crystal system: tetragonal. The raw total energy is -4.45 eV per atom.